No. 1
PBE KNiSbTe2, relaxed; energy = -18.0 eV for the cell shown; energy relative to the lowest polymorph listed for this composition = 0.00 kcal/mol of atoms; uncorrected formation energy = -0.14 eV/atom
1.0
5.499 0.000 0.000
0.000 5.499 0.000
0.000 0.000 4.814
K Ni Sb Te
1 1 1 2
direct
0.000 0.000 0.000
0.500 0.500 0.500
0.500 0.500 0.000
0.000 0.500 0.500
0.500 0.000 0.500

***

No. 2
PBE KTl2NiSb, relaxed; energy = -15.9 eV for the cell shown; uncorrected formation energy = -0.03 eV/atom
1.0
5.253 0.000 0.000
0.000 5.253 0.000
0.000 0.000 5.225
K Tl Ni Sb
1 2 1 1
direct
0.000 0.000 0.000
0.000 0.500 0.500
0.500 0.000 0.500
0.500 0.500 0.500
0.500 0.500 0.000

***

Which formula does entry 2 have?
KTl2NiSb

***

What is the formula in the second record?
KTl2NiSb